First-principles (PBE) data for K6Cd2AuO after structural relaxation, as listed in Alexandria.

Cell and atoms, written as POSCAR:
```
K6Cd2AuO
1.0
5.900 -5.904 0.000
5.900 5.904 0.000
-5.884 0.000 5.912
K Cd Au O
6 2 1 1
Cartesian
-3.248 0.000 5.909 K
0.005 0.000 2.642 K
5.900 3.265 0.000 K
5.900 -3.265 0.000 K
9.163 0.000 0.003 K
5.910 0.000 3.270 K
2.958 2.944 2.956 Cd
2.958 -2.944 2.956 Cd
5.900 0.000 0.000 Au
0.000 0.000 0.000 O
```

The density of states at the Fermi level comes out at 7.7 states/eV/cell. For the raw total energy, the calculation gives -0.0737 hartree per atom. The uncorrected formation energy comes out at -0.34 eV/atom.